(1)
! CdNiSb2I GGA-PBE optimized geometry; values from VASP
&SYSTEM
  ibrav = 0, nat = 5, ntyp = 4
/
ATOMIC_SPECIES
Cd 112.41 Cd.upf
Ni 58.69 Ni.upf
Sb 121.76 Sb.upf
I 126.90 I.upf
ATOMIC_POSITIONS crystal
Cd 0.000 0.000 0.000
Ni 0.500 0.500 0.500
Sb 0.000 0.500 0.500
Sb 0.500 0.000 0.500
I 0.500 0.500 0.000
CELL_PARAMETERS angstrom
5.023 0.000 0.000
0.000 5.023 0.000
0.000 0.000 5.496
! Space-group type: P4/mmm
! Crystal system: tetragonal
! E_form (uncorrected) in meV/atom: 333



(2)
! Pm2UGe3Ir4 GGA-PBE optimized geometry; values from VASP
&SYSTEM
  ibrav = 0, nat = 10, ntyp = 4
/
ATOMIC_SPECIES
Pm 145.00 Pm.upf
U 238.03 U.upf
Ge 72.64 Ge.upf
Ir 192.22 Ir.upf
ATOMIC_POSITIONS crystal
Pm 0.000 0.500 0.226
Pm 0.500 0.000 0.774
U 0.000 0.000 0.500
Ge 0.000 0.500 0.876
Ge 0.500 0.000 0.124
Ge 0.500 0.500 0.500
Ir 0.000 0.000 0.000
Ir 0.000 0.500 0.650
Ir 0.500 0.000 0.350
Ir 0.500 0.500 0.000
CELL_PARAMETERS angstrom
4.244 0.000 0.000
0.000 4.244 0.000
0.000 0.000 11.002
! Space-group type: P-4m2
! Calculated formation energy in eV per formula unit: -7.05
! Crystal system: tetragonal